First-principles (PBE-GGA) data for a relaxed structure of Sr2ScIrO6, as listed in the Alexandria database.

Results
total moment = 1.977 μB/f.u.
formation energy without anion corrections = -2.384 eV per atom

Unit cell a=5.6878 b=5.6878 c=5.7376 alpha=120.13 beta=120.13 gamma=59.98
Closest atoms and distances in Å follow each position.
Positions (direct):
Sr 0.2491 0.2491 0.2448  7 O 2.56-2.87
Sr 0.7509 0.7509 0.7552  7 O 2.56-2.87
Sc 0.0000 0.0000 0.5000  6 O 2.09
Ir 0.5000 0.5000 0.0000  6 O 1.98
O 0.2248 0.7135 0.2120  1 Ir 1.98, 1 Sc 2.09
O 0.2569 0.2569 0.6986  1 Ir 1.98, 1 Sc 2.09
O 0.2865 0.7752 0.7880  1 Ir 1.98, 1 Sc 2.09
O 0.7135 0.2248 0.2120  1 Ir 1.98, 1 Sc 2.09
O 0.7431 0.7431 0.3014  1 Ir 1.98, 1 Sc 2.09
O 0.7752 0.2865 0.7880  1 Ir 1.98, 1 Sc 2.09